#one
Density functional theory data (PBE-GGA) for a relaxed structure of Hf3CdH.

Geometry as extended XYZ:
```
10
Lattice="-4.755 2.605 1.313 -2.878 -2.961 -4.546 0.675 -4.826 2.716" Properties=species:S:1:pos:R:3 pbc="T T T"
H -6.376 -2.302 -0.687
H -0.582 -2.880 0.171
Hf -5.196 -3.917 -0.381
Hf -1.762 -1.265 -0.135
Hf -3.385 0.754 1.652
Hf -3.573 -5.936 -2.168
Hf -4.824 -0.726 -0.621
Hf -2.134 -4.456 0.105
Cd -3.751 -2.445 1.893
Cd -3.207 -2.737 -2.409
```

#two
Density functional theory data (PBE-GGA) for a relaxed structure of Hf3CdH.

Geometry as extended XYZ:
```
20
Lattice="-16.229 -8.838 -7.338 -1.265 -1.823 4.993 4.638 6.273 3.466" Properties=species:S:1:pos:R:3 pbc="T T T"
Cd -8.949 -4.780 0.118
Cd 1.335 2.559 6.110
Cd -14.189 -6.948 -4.990
Cd -3.905 0.392 1.002
Hf -11.789 -5.515 -1.045
Hf -5.381 -1.553 2.973
Hf -4.800 -2.478 -0.080
Hf -2.490 -0.961 4.048
Hf -8.055 -1.911 1.201
Hf -1.066 1.127 2.165
Hf -11.275 -6.106 -4.120
Hf -7.473 -2.836 -1.852
Hf -10.364 -3.427 -2.927
Hf -15.638 -8.853 -3.128
Hf 2.783 4.465 4.248
Hf -1.579 1.718 5.241
H -6.106 -2.595 1.441
H -0.722 -0.176 0.698
H -6.749 -1.793 -0.320
H -12.133 -4.213 0.422
```

#three
Density functional theory data (PBE-GGA) for a relaxed structure of Hf3CdH.

Geometry as extended XYZ:
```
10
Lattice="5.929 0.000 0.747 0.000 9.568 0.000 0.500 0.000 3.239" Properties=species:S:1:pos:R:3 pbc="T T T"
H 2.074 7.176 0.512
H 4.355 2.392 3.474
Hf 1.505 9.305 0.598
Hf 2.906 2.392 2.039
Hf 4.924 4.521 3.388
Hf 4.924 0.263 3.388
Hf 1.505 5.047 0.598
Hf 3.523 7.176 1.947
Cd 6.267 7.176 3.182
Cd 0.162 2.392 0.803
```

#one takes first place; second place is 73 meV per atom up.

#one
Density functional theory data (PBE-GGA) for a relaxed structure of Hf2CdH.

Geometry as extended XYZ:
```
4
Lattice="1.606 -2.246 -3.776 2.198 -4.102 0.477 -2.070 -3.943 -1.432" Properties=species:S:1:pos:R:3 pbc="T T T"
Hf 1.300 -7.718 -3.549
Hf 0.433 -2.573 -1.183
Cd 0.867 -5.145 -2.366
H 0.000 0.000 0.000
```

#two
Density functional theory data (PBE-GGA) for a relaxed structure of Hf2CdH.

Geometry as extended XYZ:
```
8
Lattice="-1.170 4.746 -4.282 -6.041 -2.243 -0.836 -4.663 3.190 -0.121" Properties=species:S:1:pos:R:3 pbc="T T T"
Cd -4.719 4.594 -3.481
Cd 0.000 0.000 0.000
Hf -2.536 3.013 -2.387
Hf -9.208 4.805 -4.486
Hf -6.800 3.109 -2.093
Hf -5.204 0.459 -1.512
H -7.155 1.099 -1.758
H -3.606 1.251 -2.559
```

#two takes first place; second place is 441 meV per atom up.

#one
Density functional theory data (PBE-GGA) for a relaxed structure of HfCdH3.

Geometry as extended XYZ:
```
5
Lattice="-2.273 -0.824 2.902 1.118 -3.605 -0.148 2.802 0.770 2.413" Properties=species:S:1:pos:R:3 pbc="T T T"
H -1.136 -0.412 1.451
H 0.559 -1.802 -0.074
H 1.401 0.385 1.207
Cd 0.000 0.000 0.000
Hf 0.824 -1.829 2.584
```

#two
Density functional theory data (PBE-GGA) for a relaxed structure of HfCdH3.

Geometry as extended XYZ:
```
5
Lattice="3.843 0.000 0.000 0.000 3.843 0.000 0.000 0.000 3.843" Properties=species:S:1:pos:R:3 pbc="T T T"
Hf 0.000 0.000 0.000
Cd 1.921 1.921 1.921
H 0.000 0.000 1.921
H 0.000 1.921 0.000
H 1.921 0.000 0.000
```

#two takes first place; second place is 684 meV per atom up.